1.
PaAl | OQMD | GGA-PBE | optimized geometry; SG = F-43m; electronic total energy = -10.017 eV for the cell shown
1.0
0.0000 3.2915 3.2915
3.2915 0.0000 3.2915
3.2915 3.2915 0.0000
Pa Al
1 1
direct
0.2500 0.2500 0.2500
0.0000 0.0000 0.0000

2.
ZrNi | OQMD | GGA-PBE | optimized geometry; ΔH_f (0 K) = -0.301 eV per atom; SG = Amm2; electronic total energy = -73.585 eV for the cell shown
1.0
-0.9217 -3.0581 -3.6223
5.1227 -6.3798 0.8625
-2.9690 -2.0481 2.4845
Zr Ni
5 5
direct
0.4067 0.2611 0.0000
0.9558 0.2185 0.5000
0.9053 0.6000 0.5000
0.5743 0.9815 0.5000
0.0678 0.9390 0.0000
0.4589 0.4371 0.5000
0.6257 0.7665 0.0000
0.2960 0.7629 0.5000
0.7922 0.4335 0.0000
0.2503 0.6000 0.0000

3.
MgZrIr2 | OQMD | GGA-PBE | optimized geometry; SG = P6_3/mmc; electronic total energy = -59.959 eV for the cell shown
1.0
2.1818 -3.7789 0.0000
2.1818 3.7789 0.0000
0.0000 0.0000 8.6424
Mg Ir Zr
2 4 2
direct
0.0000 0.0000 0.5000
0.0000 0.0000 0.0000
0.3333 0.6667 0.8973
0.3333 0.6667 0.6027
0.6667 0.3333 0.3973
0.6667 0.3333 0.1027
0.6667 0.3333 0.7500
0.3333 0.6667 0.2500

4.
BaNdAs | OQMD | GGA-PBE | optimized geometry; SG = F-43m; energy above the lowest structure with this stoichiometry = 0.000 eV/atom; electronic total energy = -13.325 eV for the cell shown
1.0
-3.2365 -4.0890 0.7009
-5.1988 0.7722 0.2495
-3.0915 -1.6138 -3.9401
Nd As Ba
1 1 1
direct
0.7500 0.7500 0.7500
0.0000 0.0000 0.0000
0.2500 0.2500 0.2500

5.
K14Tl21Cd9 | OQMD | GGA-PBE | optimized geometry; SG = P-62m; electronic total energy = -78.939 eV for the cell shown
1.0
-6.7670 7.5466 0.3553
-1.5473 -8.4565 5.3818
8.5196 7.0060 13.4582
Cd Tl K
9 21 14
direct
0.1645 0.0000 0.0000
0.7008 0.1733 0.0000
0.8355 0.8355 0.0000
0.1733 0.7008 0.0000
0.8267 0.5275 0.0000
0.5275 0.8267 0.0000
0.0000 0.1645 0.0000
0.4725 0.2992 0.0000
0.2992 0.4725 0.0000
0.0000 0.0000 0.3465
0.7037 0.0000 0.5949
0.7786 0.7786 0.5000
0.3996 0.0000 0.1098
0.6667 0.3333 0.8332
0.2963 0.2963 0.4051
0.3996 0.0000 0.8902
0.3333 0.6667 0.1668
0.6667 0.3333 0.1668
0.0000 0.2214 0.5000
0.2963 0.2963 0.5949
0.0000 0.7037 0.4051
0.6004 0.6004 0.1098
0.7037 0.0000 0.4051
0.0000 0.0000 0.6535
0.3333 0.6667 0.8332
0.0000 0.7037 0.5949
0.2214 0.0000 0.5000
0.0000 0.3996 0.8902
0.0000 0.3996 0.1098
0.6004 0.6004 0.8902
0.3333 0.6667 0.5000
0.7501 0.0000 0.8230
0.3868 0.0000 0.3156
0.0000 0.3868 0.6844
0.6132 0.6132 0.3156
0.0000 0.3868 0.3156
0.0000 0.7501 0.1770
0.6132 0.6132 0.6844
0.6667 0.3333 0.5000
0.2499 0.2499 0.1770
0.3868 0.0000 0.6844
0.2499 0.2499 0.8230
0.7501 0.0000 0.1770
0.0000 0.7501 0.8230

6.
BeNbTlCo | OQMD | GGA-PBE | optimized geometry; SG = F-43m; energy above the lowest structure with this stoichiometry = 0.275 eV/atom; electronic total energy = -20.886 eV for the cell shown
1.0
0.0000 3.1351 3.1351
3.1351 0.0000 3.1351
3.1351 3.1351 0.0000
Co Nb Be Tl
1 1 1 1
direct
0.7500 0.7500 0.7500
0.2500 0.2500 0.2500
0.5000 0.5000 0.5000
0.0000 0.0000 0.0000

7.
Zr3As | OQMD | GGA-PBE | optimized geometry; SG = Cmcm; electronic total energy = -63.404 eV for the cell shown
1.0
4.9994 -2.8868 0.0000
0.2561 6.2172 0.0000
0.0000 0.0000 5.2790
Zr As
6 2
direct
0.8320 0.6569 0.5000
0.3337 0.1673 0.5000
0.5083 0.0097 0.0000
0.0013 0.0097 0.0000
0.4997 0.4994 0.0000
0.3250 0.6569 0.5000
0.0209 0.5417 0.0000
0.8125 0.1249 0.5000

8.
Zr3Te | OQMD | GGA-PBE | optimized geometry; SG = Pmmn; electronic total energy = -59.753 eV for the cell shown
1.0
5.5630 0.0000 0.0000
0.0000 6.1282 0.0000
0.0000 0.0000 5.2551
Te Zr
2 6
direct
0.3169 0.5000 0.5000
0.0165 0.0000 0.0000
0.3209 0.0000 0.5000
0.0124 0.5000 0.0000
0.5183 0.7510 0.0000
0.5183 0.2490 0.0000
0.8150 0.7490 0.5000
0.8150 0.2510 0.5000